Here is an optimized crystal structure of CaV4O9 from Alexandria. Energies are from PBE+U.

Geometry as CIF:
```
data_CaV4O9
_chemical_formula_sum 'Ca2 V8 O18'
_cell_length_a 8.4291
_cell_length_b 8.4291
_cell_length_c 5.1884
_cell_angle_alpha 90.00
_cell_angle_beta 90.00
_cell_angle_gamma 90.00
_symmetry_space_group_name_H-M 'P 4/n'
_symmetry_Int_Tables_number 85
loop_
_symmetry_equiv_pos_as_xyz
'x,y,z'
'-x,-y,-z'
'-y+1/2,x,z'
'y+1/2,-x,-z'
'-x+1/2,-y+1/2,z'
'x+1/2,y+1/2,-z'
'y,-x+1/2,z'
'-y,x+1/2,-z'
loop_
_atom_site_label
_atom_site_fract_x
_atom_site_fract_y
_atom_site_fract_z
Ca1 0.2500 0.2500 0.1577
V1 0.0350 0.6594 0.3732
O1 0.0043 0.3199 0.9366
O2 0.0431 0.1431 0.4610
O3 0.2500 0.7500 0.5000
```

Values from the calculation:
Its total energy is -7.63 eV per atom.